A relaxed structure of ScTlV2F, computed with GGA+U. Values from VASP.

Calculated values
For the density of states at the Fermi level, the calculation gives 1.0902 states/eV per atom. For the total energy, the calculation gives -4.09 eV/atom.

```
&SYSTEM
  ibrav = 0, nat = 5, ntyp = 4
/
ATOMIC_SPECIES
V 50.94 V.upf
Tl 204.38 Tl.upf
F 19.00 F.upf
Sc 44.96 Sc.upf
ATOMIC_POSITIONS crystal
V 0.500 0.000 0.000
Tl 0.000 0.000 0.000
V 0.000 0.000 0.500
F 0.500 0.500 0.500
Sc 0.000 0.500 0.000
CELL_PARAMETERS angstrom
5.309 0.000 0.000
0.000 5.583 0.000
0.000 0.000 5.309
```